# TiCr2Sn PBE-GGA relaxed
# Total energy, eV/atom: -7.006
# Total moment, μB per cell: 0.00
# ΔH_f (0 K), eV/atom: 0.7804
data_TiCr2Sn
_chemical_formula_sum 'Ti4 Cr8 Sn4'
_space_group_name_H-M_alt 'I -4 2 d'
_space_group_IT_number 122
_space_group_name_Hall 'I -4 2bw'
_cell_length_a 6.968
_cell_length_b 6.968
_cell_length_c 5.379
_cell_angle_alpha 90.00
_cell_angle_beta 90.00
_cell_angle_gamma 90.00
loop_
_atom_site_label
_atom_site_fract_x
_atom_site_fract_y
_atom_site_fract_z
Ti1 0.000 0.000 0.000
Cr1 0.220 0.250 0.125
Sn1 0.000 0.000 0.500

=====

# TlCr3Sn PBE-GGA relaxed
# Total energy, eV/atom: -5.844
# Total moment, μB per cell: 13.23
# ΔH_f (0 K), eV/atom: 1.2039
data_TlCr3Sn
_chemical_formula_sum 'Tl1 Cr3 Sn1'
_space_group_name_H-M_alt 'P m -3 m'
_space_group_IT_number 221
_space_group_name_Hall '-P 4 2 3'
_cell_length_a 5.231
_cell_length_b 5.231
_cell_length_c 5.231
_cell_angle_alpha 90.00
_cell_angle_beta 90.00
_cell_angle_gamma 90.00
loop_
_atom_site_label
_atom_site_fract_x
_atom_site_fract_y
_atom_site_fract_z
Tl1 0.000 0.000 0.000
Cr1 0.000 0.500 0.500
Sn1 0.500 0.500 0.500

=====

# Tl2CrSn2 PBE-GGA relaxed
# Total energy, eV/atom: -4.175
# Total moment, μB per cell: 7.89
# ΔH_f (0 K), eV/atom: 0.2971
data_Tl2CrSn2
_chemical_formula_sum 'Tl4 Cr2 Sn4'
_space_group_name_H-M_alt 'P 4/m b m'
_space_group_IT_number 127
_space_group_name_Hall '-P 4 2ab'
_cell_length_a 7.272
_cell_length_b 7.272
_cell_length_c 5.217
_cell_angle_alpha 90.00
_cell_angle_beta 90.00
_cell_angle_gamma 90.00
loop_
_atom_site_label
_atom_site_fract_x
_atom_site_fract_y
_atom_site_fract_z
Tl1 0.170 0.330 0.000
Cr1 0.000 0.000 0.500
Sn1 0.147 0.647 0.500